(1)
VASP calculation (PBE) on an optimized crystal structure of Tl2TcSe.

Energy relative to the lowest polymorph listed for this composition, eV/atom: 0.5700
E_form (uncorrected), eV per formula unit: 2.53
M_tot, Bohr magnetons per cell: 1.61
Space group: Cmmm

Cell lengths 5.2149, 5.2149, 3.3316 Å; angles 89.99, 89.99, 105.42 degrees
Last column: magnetic moment on the atom in μB.
Fractional coordinates of all 4 atoms:
Tl 0.0000 0.0000 0.0000  -0.03
Tl 0.5000 0.5000 0.0000  -0.03
Tc 0.0000 0.5000 0.5000  1.61
Se 0.5000 0.0000 0.5000  -0.08

(2)
VASP calculation (PBE) on an optimized crystal structure of MnInNi2.

M_tot, Bohr magnetons per cell: 3.86
Space group: P4mm
Energy, hartree per atom: -0.2140

Cell lengths 3.1713, 3.1713, 5.6215 Å; angles 90.00, 90.00, 90.00 degrees
Last column: magnetic moment on the atom in μB.
Fractional coordinates of all 4 atoms:
In 0.0000 0.0000 0.4820  -0.06
Mn 0.5000 0.5000 0.7972  3.34
Ni 0.0000 0.0000 0.9910  0.46
Ni 0.5000 0.5000 0.2298  0.04